Entry 1:
A geometry-optimized La5ErTm6 structure, computed with GGA-PBE.

```
La5ErTm6
1.0
-0.851 4.847 3.636
-7.094 -1.727 0.646
-1.766 -5.464 7.639
Er Tm La
1 6 5
Direct
0.000 0.000 0.000
0.831 0.585 0.331
0.831 0.084 0.331
0.500 0.752 0.000
0.500 0.248 0.000
0.169 0.916 0.669
0.169 0.415 0.669
0.670 0.164 0.672
0.333 0.333 0.334
0.000 0.500 0.000
0.667 0.667 0.666
0.330 0.836 0.328
```

DFT formation energy in eV per formula unit: 0.4
Total magnetization in μB/f.u.: 0.0

---

Entry 2:
A geometry-optimized YTmSnPt structure, computed with GGA-PBE.

```
YTmSnPt
1.0
-1.271 -1.173 -4.817
-1.248 -4.812 -1.218
-4.847 -1.173 -1.155
Y Tm Sn Pt
1 1 1 1
Direct
0.500 0.500 0.500
0.000 0.000 0.000
0.250 0.250 0.250
0.750 0.750 0.750
```

DFT formation energy in eV per formula unit: -3.5
Total magnetization in μB/f.u.: 0.0

---

Entry 3:
A geometry-optimized TbEuRu4 structure, computed with GGA-PBE.

```
TbEuRu4
1.0
5.375 0.000 0.000
2.688 4.655 0.000
2.688 1.552 4.389
Eu Ru Tb
1 4 1
Direct
0.000 0.000 0.000
0.625 0.625 0.125
0.625 0.125 0.625
0.625 0.625 0.625
0.125 0.625 0.625
0.250 0.250 0.250
```

DFT formation energy in eV per formula unit: -0.6
Total magnetization in μB/f.u.: 5.3

---

Entry 4:
A geometry-optimized HgPd4Pt4 structure, computed with GGA-PBE.

```
HgPd4Pt4
1.0
3.774 0.000 1.139
1.887 6.044 0.570
0.140 0.000 6.356
Hg Pd Pt
1 4 4
Direct
0.500 0.500 0.000
0.169 0.162 0.000
0.831 0.838 0.000
0.831 0.500 0.338
0.169 0.500 0.662
0.500 0.163 0.337
0.500 0.837 0.663
0.163 0.837 0.337
0.837 0.163 0.663
```

DFT formation energy in eV per formula unit: -0.4
Total magnetization in μB/f.u.: 0.0

---

Entry 5:
A geometry-optimized Nb2SbIN structure, computed with GGA-PBE.

```
Nb2SbIN
1.0
-2.485 1.324 3.451
-2.922 -3.250 -0.858
2.449 -2.969 2.903
I Sb Nb N
1 1 2 1
Direct
0.500 0.500 0.500
0.000 0.000 0.500
0.000 0.500 0.000
0.500 0.000 0.000
0.000 0.000 0.000
```

Total magnetization in μB/f.u.: 0.0
E_tot in eV per atom: -6.28

---

Entry 6:
A geometry-optimized LaBe4Cd structure, computed with GGA-PBE.

```
LaBe4Cd
1.0
2.295 -0.736 4.492
-1.783 -3.520 3.226
2.656 -4.270 0.836
La Be Cd
1 4 1
Direct
0.000 0.000 0.000
0.897 0.368 0.368
0.368 0.368 0.897
0.368 0.897 0.368
0.368 0.368 0.368
0.750 0.750 0.750
```

DFT formation energy in eV per formula unit: 2.1
Total magnetization in μB/f.u.: 0.0

---

Entry 7:
A geometry-optimized Li4SO structure, computed with GGA-PBE.

```
Li4SO
1.0
3.503 0.000 0.000
0.000 4.880 -0.103
0.000 -0.199 4.878
Li S O
4 1 1
Direct
0.000 0.223 0.223
0.000 0.777 0.777
0.500 0.662 0.338
0.500 0.338 0.662
0.500 0.000 0.000
0.000 0.500 0.500
```

Total magnetization in μB/f.u.: 0.0
E_tot in eV per atom: -4.23

---

Entry 8:
A geometry-optimized V4Cr3Ir structure, computed with GGA-PBE.

```
V4Cr3Ir
1.0
4.164 0.000 0.000
0.000 5.899 0.000
0.000 0.000 8.327
Cr Ir V
6 2 8
Direct
0.000 0.000 0.000
0.000 0.000 0.500
0.500 0.000 0.750
0.500 0.000 0.250
0.500 0.500 0.750
0.500 0.500 0.250
0.000 0.500 0.000
0.000 0.500 0.500
0.500 0.758 0.000
0.500 0.758 0.500
0.500 0.242 0.000
0.500 0.242 0.500
0.000 0.758 0.750
0.000 0.758 0.250
0.000 0.242 0.250
0.000 0.242 0.750
```

DFT formation energy in eV per formula unit: -2.1
Total magnetization in μB/f.u.: 0.2

---

Entry 9:
A geometry-optimized KNaAsPd structure, computed with GGA-PBE.

```
KNaAsPd
1.0
-3.293 1.508 2.613
-0.803 -0.989 -4.259
0.262 -5.643 3.588
K Na As Pd
1 1 1 1
Direct
0.631 0.262 0.539
0.831 0.661 0.132
0.084 0.167 0.892
0.421 0.842 0.905
```

DFT formation energy in eV per formula unit: -1.4
Total magnetization in μB/f.u.: 0.0

---

Entry 10:
A geometry-optimized Au2S2Cl structure, computed with GGA-PBE.

```
Au2S2Cl
1.0
7.389 0.000 0.000
0.000 7.389 0.000
0.000 0.000 4.390
S Au Cl
4 4 2
Direct
0.208 0.708 0.000
0.708 0.792 0.000
0.792 0.292 0.000
0.292 0.208 0.000
0.137 0.637 0.500
0.637 0.863 0.500
0.863 0.363 0.500
0.363 0.137 0.500
0.000 0.000 0.000
0.500 0.500 0.000
```

Energy above the lowest structure with this stoichiometry in meV/atom: 181
Total magnetization in μB/f.u.: 0.0

---

Entry 11:
A geometry-optimized Fe2CoCu structure, computed with GGA-PBE.

```
Fe2CoCu
1.0
6.367 0.000 0.000
0.000 6.367 0.000
3.184 3.184 2.354
Co Fe Cu
2 4 2
Direct
0.500 0.500 0.000
0.250 0.750 0.500
0.585 0.125 0.250
0.165 0.625 0.250
0.375 0.415 0.750
0.875 0.835 0.750
0.000 0.000 0.000
0.750 0.250 0.500
```

Energy above the lowest structure with this stoichiometry in meV/atom: 749
DFT formation energy in eV per formula unit: 3.3
Total magnetization in μB/f.u.: 0.0

---

Entry 12:
A geometry-optimized Mg4Zr10In structure, computed with GGA-PBE.

```
Mg4Zr10In
1.0
-5.071 -2.216 3.774
1.263 -7.493 3.242
0.613 2.058 7.977
Mg Zr In
4 10 1
Direct
0.401 0.800 0.398
0.799 0.602 0.800
0.201 0.398 0.200
0.599 0.200 0.602
0.250 0.500 0.500
0.647 0.305 0.898
0.048 0.102 0.305
0.455 0.898 0.695
0.850 0.695 0.102
0.353 0.695 0.102
0.750 0.500 0.500
0.150 0.305 0.898
0.545 0.102 0.305
0.952 0.898 0.695
0.000 0.000 0.000
```

DFT formation energy in eV per formula unit: 9.5
Total magnetization in μB/f.u.: 0.0

---

- total magnetization of number 1 (La5ErTm6)?
  0.0 μB/f.u.